(1)
# PBE Y2RePdCl, optimized geometry
data_Y2RePdCl
_cell_length_a 5.492
_cell_length_b 5.492
_cell_length_c 4.695
_cell_angle_alpha 90.00
_cell_angle_beta 90.00
_cell_angle_gamma 90.00
_space_group_name_H-M_alt 'P 4/m m m'
_space_group_IT_number 123
_space_group_name_Hall '-P 4 2'
loop_
_atom_site_label
_atom_site_type_symbol
_atom_site_fract_x
_atom_site_fract_y
_atom_site_fract_z
Y1 Y 0.000 0.500 0.000
Re1 Re 0.000 0.000 0.000
Pd1 Pd 0.000 0.000 0.500
Cl1 Cl 0.500 0.500 0.500
# Total moment, μB/cell: 0.000
# VASP energy, eV/atom: -6.35
# Density, g/cm3: 5.9
# Energy relative to the elements, uncorrected, kJ/mol of formula units: 64

=====

(2)
# PBE PdRhCl2, optimized geometry
data_PdRhCl2
_cell_length_a 6.421
_cell_length_b 6.421
_cell_length_c 6.421
_cell_angle_alpha 90.00
_cell_angle_beta 90.00
_cell_angle_gamma 90.00
_space_group_name_H-M_alt 'F m -3 m'
_space_group_IT_number 225
_space_group_name_Hall '-F 4 2 3'
loop_
_atom_site_label
_atom_site_type_symbol
_atom_site_fract_x
_atom_site_fract_y
_atom_site_fract_z
Pd1 Pd 0.000 0.000 0.000
Rh1 Rh 0.000 0.000 0.500
Cl1 Cl 0.250 0.250 0.250
# Total moment, μB/cell: 5.987
# VASP energy, eV/atom: -3.63
# Density, g/cm3: 7.0
# Polymorph energy (0 for the lowest one), meV per atom: 318
# Energy relative to the elements, uncorrected, kJ/mol of formula units: 164

=====

(3)
# PBE PdRhCl2, optimized geometry
data_PdRhCl2
_cell_length_a 6.640
_cell_length_b 6.640
_cell_length_c 6.515
_cell_angle_alpha 90.00
_cell_angle_beta 90.00
_cell_angle_gamma 90.00
_space_group_name_H-M_alt 'I -4 2 d'
_space_group_IT_number 122
_space_group_name_Hall 'I -4 2bw'
loop_
_atom_site_label
_atom_site_type_symbol
_atom_site_fract_x
_atom_site_fract_y
_atom_site_fract_z
Pd1 Pd 0.000 0.000 0.000
Rh1 Rh 0.000 0.000 0.500
Cl1 Cl 0.230 0.250 0.625
# Total moment, μB/cell: 0.000
# VASP energy, eV/atom: -3.81
# Density, g/cm3: 6.5
# Polymorph energy (0 for the lowest one), meV per atom: 143
# Energy relative to the elements, uncorrected, kJ/mol of formula units: 97

=====

(4)
# PBE PdRhCl3, optimized geometry
data_PdRhCl3
_cell_length_a 4.782
_cell_length_b 4.782
_cell_length_c 4.782
_cell_angle_alpha 90.00
_cell_angle_beta 90.00
_cell_angle_gamma 90.00
_space_group_name_H-M_alt 'P m -3 m'
_space_group_IT_number 221
_space_group_name_Hall '-P 4 2 3'
loop_
_atom_site_label
_atom_site_type_symbol
_atom_site_fract_x
_atom_site_fract_y
_atom_site_fract_z
Pd1 Pd 0.000 0.000 0.000
Rh1 Rh 0.500 0.500 0.500
Cl1 Cl 0.000 0.500 0.500
# Total moment, μB/cell: 1.150
# VASP energy, eV/atom: -3.43
# Density, g/cm3: 4.8
# Polymorph energy (0 for the lowest one), meV per atom: 0
# Energy relative to the elements, uncorrected, kJ/mol of formula units: 89